{
  "formula": "Sc2V2Cr",
  "functional": "PBE",
  "state": "relaxed",
  "formation_energy_ev_per_fu": 1.17,
  "sg": "P4/mbm (127)",
  "crystal_system": "tetragonal",
  "lattice": [[-2.358, -4.740, -2.776], [2.505, -3.616, 4.048], [-3.925, 0.348, 2.739]],
  "species": ["Sc", "Sc", "Sc", "Sc", "Cr", "Cr", "V", "V", "V", "V"],
  "frac_coords": [[0.174, 0.674, 0.500], [0.674, 0.826, 0.500], [0.826, 0.326, 0.500], [0.326, 0.174, 0.500], [0.000, 0.000, 0.000], [0.500, 0.500, 0.000], [0.353, 0.853, 0.000], [0.853, 0.647, 0.000], [0.647, 0.147, 0.000], [0.147, 0.353, 0.000]]
}